Pm2InGa4Pd3 | PBE | optimized geometry

**Calculated volume**: 201 Å³/cell
**ΔH_f (0 K)**: -69 kJ per mole of atoms
**M_tot**: 0.000 Bohr magnetons per cell
**ρ**: 8.30 g/cm3

POSCAR file:
```
Pm2InGa4Pd3
1.0
4.305 0.000 0.000
0.000 4.305 0.000
0.000 0.000 10.824
Ga In Pd Pm
4 1 3 2
Direct
0.500 0.000 0.650
0.500 0.500 0.000
0.000 0.000 0.000
0.000 0.500 0.350
0.500 0.500 0.500
0.500 0.000 0.876
0.000 0.500 0.124
0.000 0.000 0.500
0.500 0.000 0.238
0.000 0.500 0.762
```